VASP calculation (meta-GGA SCAN) on a PBEsol-optimized structure of ZrReP3.

Calculated values
* DFT total energy: -125.8 eV per cell

CIF file:
```
data_ZrReP3
_chemical_formula_sum 'Zr1 Re1 P3'
_space_group_name_H-M_alt 'P m -3 m'
_space_group_IT_number 221
_space_group_name_Hall '-P 4 2 3'
_cell_length_a 4.865
_cell_length_b 4.865
_cell_length_c 4.865
_cell_angle_alpha 90.00
_cell_angle_beta 90.00
_cell_angle_gamma 90.00
loop_
_atom_site_label
_atom_site_type_symbol
_atom_site_fract_x
_atom_site_fract_y
_atom_site_fract_z
Zr1 Zr 0.000 0.000 0.000
Re1 Re 0.500 0.500 0.500
P1 P 0.000 0.000 0.500
```

VASP calculation (meta-GGA SCAN) on a PBEsol-optimized structure of Zr9Re4P.

Calculated values
* DFT total energy: -1155.4 eV per cell

CIF file:
```
data_Zr9Re4P
_chemical_formula_sum 'Zr18 Re8 P2'
_space_group_name_H-M_alt 'P 63/m m c'
_space_group_IT_number 194
_space_group_name_Hall '-P 6c 2c'
_cell_length_a 8.3683
_cell_length_b 8.3683
_cell_length_c 8.8397
_cell_angle_alpha 90.00
_cell_angle_beta 90.00
_cell_angle_gamma 120.00
loop_
_atom_site_label
_atom_site_type_symbol
_atom_site_fract_x
_atom_site_fract_y
_atom_site_fract_z
Zr1 Zr 0.0694 0.5347 0.2500
Zr2 Zr 0.1992 0.3984 0.5463
Re1 Re 0.0000 0.0000 0.0000
Re2 Re 0.1063 0.2126 0.2500
P1 P 0.3333 0.6667 0.7500
```

VASP calculation (meta-GGA SCAN) on a PBEsol-optimized structure of Zr2ReP.

Calculated values
* DFT total energy: -144.4 eV per cell

CIF file:
```
data_Zr2ReP
_chemical_formula_sum 'Zr2 Re1 P1'
_space_group_name_H-M_alt 'P 4 m m'
_space_group_IT_number 99
_cell_length_a 3.103
_cell_length_b 3.103
_cell_length_c 7.241
_cell_angle_alpha 90.00
_cell_angle_beta 90.00
_cell_angle_gamma 90.00
loop_
_space_group_symop_operation_xyz
'x,y,z'
'-y,x,z'
'-x,-y,z'
'y,-x,z'
'-x,y,z'
'y,x,z'
'x,-y,z'
'-y,-x,z'
loop_
_atom_site_label
_atom_site_type_symbol
_atom_site_fract_x
_atom_site_fract_y
_atom_site_fract_z
Zr1 Zr 0.000 0.000 0.000
Zr2 Zr 0.500 0.500 0.323
Re1 Re 0.500 0.500 0.736
P1 P 0.000 0.000 0.584
```

VASP calculation (meta-GGA SCAN) on a PBEsol-optimized structure of P3Rh4.

Calculated values
* DFT total energy: -687.6 eV per cell

CIF file:
```
data_P3Rh4
_chemical_formula_sum 'P12 Rh16'
_space_group_name_H-M_alt 'P n m a'
_space_group_IT_number 62
_cell_length_a 11.590
_cell_length_b 3.312
_cell_length_c 9.941
_cell_angle_alpha 90.00
_cell_angle_beta 90.00
_cell_angle_gamma 90.00
loop_
_space_group_symop_operation_xyz
'x,y,z'
'-x,-y,-z'
'-x+1/2,-y,z+1/2'
'x+1/2,y,-z+1/2'
'x+1/2,-y+1/2,-z+1/2'
'-x+1/2,y+1/2,z+1/2'
'-x,y+1/2,-z'
'x,-y+1/2,z'
loop_
_atom_site_label
_atom_site_type_symbol
_atom_site_fract_x
_atom_site_fract_y
_atom_site_fract_z
P1 P 0.123 0.250 0.240
P2 P 0.127 0.750 0.582
P3 P 0.131 0.250 0.924
Rh1 Rh 0.026 0.750 0.382
Rh2 Rh 0.064 0.750 0.094
Rh3 Rh 0.205 0.250 0.711
Rh4 Rh 0.228 0.250 0.432
```

Q: What is the formula in the second record?
A: Zr9Re4P

Q: Among the records above, which one has the lowest DFT total energy?
A: Zr9Re4P

Q: DFT total energy of number 2 (Zr9Re4P)?
A: -1155.4 eV per cell

Q: Which of these has the highest DFT total energy?
A: ZrReP3